(1)
A plane-wave DFT calculation with GGA-PBE was carried out for an optimized crystal structure of Ca4Sn3Pt.

Results
Final energy = -3.940 eV/atom
DFT formation energy = -0.683 eV/atom

a = 4.485 Å, b = 4.617 Å, c = 11.237 Å
α = 90.00°, β = 90.00°, γ = 90.00°
Fractional coordinates of all 8 atoms:
1 Ca 0.000 0.000 0.000
2 Ca 0.000 0.500 0.461
3 Ca 0.500 0.000 0.697
4 Ca 0.500 0.500 0.203
5 Sn 0.000 0.500 0.752
6 Sn 0.500 0.000 0.404
7 Sn 0.500 0.500 0.920
8 Pt 0.000 0.000 0.271


(2)
A plane-wave DFT calculation with GGA-PBE was carried out for an optimized crystal structure of Ca5SnPt2.

Results
Final energy = -4.069 eV/atom
DFT formation energy = -0.808 eV/atom

a = 9.108 Å, b = 9.108 Å, c = 9.108 Å
α = 128.83°, β = 128.83°, γ = 75.28°
Fractional coordinates of all 16 atoms:
1 Ca 0.000 0.000 0.000
2 Ca 0.036 0.536 0.840
3 Ca 0.196 0.036 0.500
4 Ca 0.304 0.804 0.840
5 Ca 0.464 0.304 0.500
6 Ca 0.500 0.500 0.000
7 Ca 0.536 0.696 0.500
8 Ca 0.696 0.196 0.160
9 Ca 0.804 0.964 0.500
10 Ca 0.964 0.464 0.160
11 Sn 0.250 0.250 0.000
12 Sn 0.750 0.750 0.000
13 Pt 0.126 0.374 0.500
14 Pt 0.374 0.874 0.248
15 Pt 0.626 0.126 0.752
16 Pt 0.874 0.626 0.500


(3)
A plane-wave DFT calculation with GGA-PBE was carried out for an optimized crystal structure of Ca2Sn2Pt.

Results
Final energy = -4.315 eV/atom
DFT formation energy = -0.705 eV/atom

a = 7.179 Å, b = 7.179 Å, c = 4.942 Å
α = 90.00°, β = 90.00°, γ = 90.00°
Fractional coordinates of all 10 atoms:
1 Ca 0.168 0.332 0.000
2 Ca 0.332 0.832 0.000
3 Ca 0.668 0.168 0.000
4 Ca 0.832 0.668 0.000
5 Sn 0.145 0.645 0.500
6 Sn 0.355 0.145 0.500
7 Sn 0.645 0.855 0.500
8 Sn 0.855 0.355 0.500
9 Pt 0.000 0.000 0.500
10 Pt 0.500 0.500 0.500


(4)
A plane-wave DFT calculation with GGA-PBE was carried out for an optimized crystal structure of CaSn3Pt3.

Results
Final energy = -4.915 eV/atom
DFT formation energy = -0.325 eV/atom

a = 7.342 Å, b = 7.342 Å, c = 7.342 Å
α = 90.00°, β = 90.00°, γ = 90.00°
Fractional coordinates of all 14 atoms:
1 Ca 0.000 0.000 0.000
2 Ca 0.500 0.500 0.500
3 Sn 0.000 0.250 0.500
4 Sn 0.000 0.750 0.500
5 Sn 0.250 0.500 0.000
6 Sn 0.500 0.000 0.250
7 Sn 0.500 0.000 0.750
8 Sn 0.750 0.500 0.000
9 Pt 0.000 0.500 0.250
10 Pt 0.000 0.500 0.750
11 Pt 0.250 0.000 0.500
12 Pt 0.500 0.250 0.000
13 Pt 0.500 0.750 0.000
14 Pt 0.750 0.000 0.500


What did the third record say?
A plane-wave DFT calculation with GGA-PBE was carried out for an optimized crystal structure of Ca2Sn2Pt.

Results
Final energy = -4.315 eV/atom
DFT formation energy = -0.705 eV/atom

a = 7.179 Å, b = 7.179 Å, c = 4.942 Å
α = 90.00°, β = 90.00°, γ = 90.00°
Fractional coordinates of all 10 atoms:
1 Ca 0.168 0.332 0.000
2 Ca 0.332 0.832 0.000
3 Ca 0.668 0.168 0.000
4 Ca 0.832 0.668 0.000
5 Sn 0.145 0.645 0.500
6 Sn 0.355 0.145 0.500
7 Sn 0.645 0.855 0.500
8 Sn 0.855 0.355 0.500
9 Pt 0.000 0.000 0.500
10 Pt 0.500 0.500 0.500